(1)
Ac8As3PS4 after structural relaxation, computed with PBE.

Cell: 8.8771 8.8771 21.4898 Å, 90.00 90.00 120.00°
Space group R-3m (No. 166, hexagonal axes)
Asymmetric unit:
Ac 0.0000 0.0000 0.2493
Ac 0.0042 0.5021 0.7496
As 0.0000 0.5000 0.0000
P 0.0000 0.0000 0.0000
S 0.0000 0.0000 0.5000
S 0.0000 0.5000 0.5000

final energy: -6.0773 eV/atom
mass density: 7.47 g/cm3
M_tot: 0.00 μB/cell



(2)
Pm2TiGa3Pt4 after structural relaxation, computed with PBE.

Cell: 4.152 4.152 11.151 Å, 90.00 90.00 90.00°
Space group P-4m2 (No. 115)
Asymmetric unit:
Pm 0.000 0.500 0.244
Ti 0.000 0.000 0.500
Ga 0.000 0.500 0.867
Ga 0.500 0.500 0.500
Pt 0.000 0.000 0.000
Pt 0.000 0.500 0.641
Pt 0.500 0.500 0.000

final energy: -6.0252 eV/atom
E_form: -0.961 eV/atom
mass density: 11.46 g/cm3
M_tot: 0.00 μB/cell



(3)
LaMoRu2 after structural relaxation, computed with PBE.

Cell: 6.676 7.058 3.085 Å, 90.00 90.00 90.00°
Space group Cmmm (No. 65)
Asymmetric unit:
La 0.000 0.000 0.000
Mo 0.000 0.500 0.000
Ru 0.250 0.250 0.500

final energy: -8.2161 eV/atom
E_form: 0.361 eV/atom
mass density: 9.98 g/cm3
M_tot: 0.00 μB/cell



(4)
Ca2ZnCu2 after structural relaxation, computed with PBE.

Cell: 3.521 3.521 17.738 Å, 90.00 90.00 90.00°
Space group I4/mmm (No. 139)
Asymmetric unit:
Ca 0.000 0.000 0.111
Zn 0.000 0.000 0.500
Cu 0.000 0.500 0.250

final energy: -2.7370 eV/atom
E_form: -0.043 eV/atom
mass density: 4.12 g/cm3
M_tot: 0.00 μB/cell



(5)
BaPuRu2O8 after structural relaxation, computed with PBE.

Cell: 5.8852 5.8852 7.5532 Å, 90.00 90.00 120.00°
Space group P-3 (No. 147)
Asymmetric unit:
Ba 0.0000 0.0000 0.0000
Pu 0.0000 0.0000 0.5000
Ru 0.3333 0.6667 0.7735
O 0.1540 0.3253 0.6883
O 0.3333 0.6667 0.0089

final energy: -7.8409 eV/atom
mass density: 5.21 g/cm3
M_tot: 1.92 μB/cell



(6)
La3GaAg after structural relaxation, computed with PBE.

Cell: 5.809 5.809 5.809 Å, 90.00 90.00 90.00°
Space group Pm-3m (No. 221)
Asymmetric unit:
La 0.000 0.000 0.500
Ga 0.000 0.000 0.000
Ag 0.500 0.500 0.500

final energy: -3.9700 eV/atom
E_form: 0.162 eV/atom
mass density: 5.03 g/cm3
M_tot: 0.00 μB/cell



(7)
NaHgPt after structural relaxation, computed with PBE.

Cell: 3.624 3.624 9.160 Å, 90.00 90.00 90.00°
Space group I4mm (No. 107)
Asymmetric unit:
Na 0.000 0.000 0.000
Hg 0.000 0.000 0.684
Pt 0.000 0.000 0.326

final energy: -2.5903 eV/atom
E_form: -0.036 eV/atom
mass density: 11.56 g/cm3
M_tot: 0.00 μB/cell



(8)
TbZr2Zn6 after structural relaxation, computed with PBE.

Cell: 7.6244 7.6244 3.2662 Å, 90.00 90.00 120.00°
Space group P6/mmm (No. 191)
Asymmetric unit:
Tb 0.0000 0.0000 0.0000
Zr 0.3333 0.6667 0.0000
Zn 0.0000 0.3383 0.5000

final energy: -3.5637 eV/atom
E_form: -0.300 eV/atom
mass density: 7.41 g/cm3
M_tot: 0.00 μB/cell



(9)
Cs5AuSI2 after structural relaxation, computed with PBE.

Cell: 5.307 22.422 17.683 Å, 90.00 90.00 90.00°
Space group Cmc2_1 (No. 36)
Asymmetric unit:
Cs 0.000 0.005 0.000
Cs 0.000 0.117 0.224
Cs 0.000 0.213 0.646
Cs 0.000 0.249 0.886
Cs 0.000 0.410 0.300
Au 0.000 0.049 0.682
S 0.000 0.263 0.263
I 0.000 0.365 0.524
I 0.000 0.423 0.884

final energy: -2.7011 eV/atom
mass density: 3.62 g/cm3
M_tot: 0.61 μB/cell



(10)
Cs2MnI2 after structural relaxation, computed with PBE.

Cell: 10.682 10.682 4.751 Å, 90.00 90.00 90.00°
Space group P4/mbm (No. 127)
Asymmetric unit:
Cs 0.143 0.357 0.000
Mn 0.000 0.000 0.000
I 0.155 0.655 0.500

final energy: -3.2585 eV/atom
mass density: 3.52 g/cm3
M_tot: 10.00 μB/cell



(11)
Na2MnZn2Au5 after structural relaxation, computed with PBE.

Cell: 10.924 10.924 3.221 Å, 90.00 90.00 90.00°
Space group P4/mbm (No. 127)
Asymmetric unit:
Na 0.174 0.326 0.000
Mn 0.000 0.000 0.000
Zn 0.133 0.633 0.000
Au 0.000 0.500 0.500
Au 0.060 0.810 0.500

final energy: -3.2921 eV/atom
E_form: -0.218 eV/atom
mass density: 10.51 g/cm3
M_tot: 8.27 μB/cell



(12)
ZrAl2W after structural relaxation, computed with PBE.

Cell: 4.028 4.028 4.250 Å, 90.00 90.00 90.00°
Space group P4/mmm (No. 123)
Asymmetric unit:
Zr 0.000 0.000 0.000
Al 0.000 0.500 0.500
W 0.500 0.500 0.000

final energy: -7.4056 eV/atom
E_form: -0.159 eV/atom
mass density: 7.92 g/cm3
M_tot: 0.00 μB/cell